Entry 1:
## Cd2Hg (meta-GGA SCAN)

Data for Cd2Hg at its PBEsol-relaxed geometry.

Geometry as extended XYZ:
```
6
Lattice="3.1476 0.0000 0.0000 0.0000 3.1476 0.0000 -1.5738 -1.5738 13.2475" Properties=species:S:1:pos:R:3 pbc="T T T"
Hg 0.0000 0.0000 0.0000
Hg 0.0000 1.5738 6.6237
Cd 1.5738 0.0000 4.5299
Cd 1.5738 0.0000 8.7175
Cd 0.0000 0.0000 11.1537
Cd 1.5738 1.5738 2.0938
```

Results
Formation energy from the elements = 7 kJ/mol of formula units
Electronic total energy = -257.84 eV per cell
Space-group type = I4_1/amd, No. 141

***

Entry 2:
## Cd4Hg (meta-GGA SCAN)

Data for Cd4Hg at its PBEsol-relaxed geometry.

Geometry as extended XYZ:
```
5
Lattice="4.3821 0.0000 0.0000 2.1910 4.9016 0.0000 2.1910 0.0000 4.9016" Properties=species:S:1:pos:R:3 pbc="T T T"
Hg 0.0000 0.0000 0.0000
Cd 6.5731 2.9459 3.9104
Cd 2.1910 1.9558 0.9913
Cd 4.3821 0.9913 2.9459
Cd 4.3821 3.9104 1.9558
```

Results
Formation energy from the elements = 8 kJ/mol of formula units
Electronic total energy = -189.74 eV per cell
Space-group type = I4/m, No. 87
Excess energy over the best structure of this formula in the dataset = 0 meV/atom

***

Entry 3:
## Cd5Hg (meta-GGA SCAN)

Data for Cd5Hg at its PBEsol-relaxed geometry.

Geometry as extended XYZ:
```
6
Lattice="5.7174 0.0000 0.0000 2.8587 4.9514 0.0000 2.8587 1.6505 4.6683" Properties=species:S:1:pos:R:3 pbc="T T T"
Hg 0.0000 0.0000 0.0000
Cd 5.7174 1.6522 2.9171
Cd 2.8587 1.6505 1.1671
Cd 7.1453 4.1254 2.9171
Cd 5.7174 3.3010 0.5853
Cd 4.2895 4.1254 2.9171
```

Results
Formation energy from the elements = 58 kJ/mol of formula units
Electronic total energy = -219.64 eV per cell
Space-group type = F-43m, No. 216

***

Entry 4:
## Cd13Hg (meta-GGA SCAN)

Data for Cd13Hg at its PBEsol-relaxed geometry.

Geometry as extended XYZ:
```
28
Lattice="9.6474 0.0000 0.0000 4.8237 8.3549 0.0000 4.8237 2.7850 7.8771" Properties=species:S:1:pos:R:3 pbc="T T T"
Cd 10.8154 6.9129 6.3187
Cd 8.4793 8.2616 4.4113
Cd 10.8154 2.8782 3.4658
Cd 8.4793 4.2270 1.5584
Cd 7.9003 5.9100 6.3187
Cd 7.9003 3.2125 4.4113
Cd 11.3945 7.9273 3.4658
Cd 11.3945 5.2299 1.5584
Cd 10.2264 3.8869 6.3187
Cd 12.5625 5.2356 4.4113
Cd 6.7323 5.9042 3.4658
Cd 9.0684 7.2530 1.5584
Cd 8.4793 8.4481 7.4043
Cd 10.8154 9.7969 5.4969
Cd 8.4793 1.3430 2.3802
Cd 10.8154 2.6917 0.4728
Cd 6.5708 5.9975 0.4728
Cd 6.5708 8.6950 2.3802
Cd 12.7240 2.4449 5.4969
Cd 12.7240 5.1424 7.4043
Cd 13.8921 6.6718 2.3802
Cd 11.5560 8.0206 0.4728
Cd 7.7388 3.1193 7.4043
Cd 5.4027 4.4680 5.4969
Cd 9.6474 5.5699 3.9385
Cd 0.0000 0.0000 0.0000
Hg 4.8237 2.7850 1.9693
Hg 14.4711 8.3549 5.9078
```

Results
Formation energy from the elements = 39 kJ/mol of formula units
Electronic total energy = -926.30 eV per cell
Space-group type = Fm-3c, No. 226

***

Entry 5:
## Cd22Hg (meta-GGA SCAN)

Data for Cd22Hg at its PBEsol-relaxed geometry.

Geometry as extended XYZ:
```
46
Lattice="11.2025 0.0000 0.0000 5.6012 9.7016 0.0000 5.6012 3.2339 9.1468" Properties=species:S:1:pos:R:3 pbc="T T T"
Cd 8.4741 3.2111 4.0540
Cd 12.6586 10.4589 4.0540
Cd 13.9309 4.8925 1.6762
Cd 9.7464 7.3084 8.5095
Cd 13.9309 3.2111 4.0540
Cd 9.7464 10.4589 4.0540
Cd 12.6586 7.3084 8.5095
Cd 8.4741 4.8925 1.6762
Cd 11.2025 4.7864 8.5095
Cd 11.2025 9.6183 1.6762
Cd 7.0180 5.7332 4.0540
Cd 15.3870 5.7332 4.0540
Cd 15.3476 5.7105 7.3795
Cd 13.9309 3.2566 7.3795
Cd 8.4741 8.0430 0.6105
Cd 7.0574 8.8610 2.9240
Cd 12.6192 10.4362 7.3795
Cd 9.7858 10.4362 7.3795
Cd 11.2025 1.6814 2.9240
Cd 11.2025 3.3173 0.6105
Cd 15.3476 8.8610 2.9240
Cd 13.9309 8.0430 0.6105
Cd 7.0574 5.7105 7.3795
Cd 8.4741 3.2566 7.3795
Cd 18.4010 10.6238 5.5559
Cd 15.2065 8.7795 8.1643
Cd 16.8037 11.5460 8.1643
Cd 16.8037 7.8573 5.5559
Cd 15.2065 10.6238 5.5559
Cd 18.4010 8.7795 8.1643
Cd 11.2025 8.3121 5.8776
Cd 11.2025 4.6234 3.2692
Cd 12.7998 7.3899 3.2692
Cd 9.6052 5.5456 5.8776
Cd 12.7998 5.5456 5.8776
Cd 9.6052 7.3899 3.2692
Cd 5.6012 6.4678 1.1433
Cd 2.8006 1.6169 1.1433
Cd 5.6012 3.2339 5.7167
Cd 8.4019 1.6169 1.1433
Cd 11.2025 3.2339 5.7167
Cd 14.0031 8.0847 5.7167
Cd 11.2025 6.4678 1.1433
Cd 8.4019 8.0847 5.7167
Hg 5.6012 3.2339 2.2867
Hg 0.0000 0.0000 0.0000
```

Results
Formation energy from the elements = 147 kJ/mol of formula units
Electronic total energy = -1471.53 eV per cell
Space-group type = Fd-3m, No. 227

***

Entry 6:
## CdHg3 (meta-GGA SCAN)

Data for CdHg3 at its PBEsol-relaxed geometry.

Geometry as extended XYZ:
```
4
Lattice="-3.7702 -1.2507 3.1306 0.9937 -1.1424 4.8257 -1.3839 3.1738 3.6867" Properties=species:S:1:pos:R:3 pbc="T T T"
Hg -1.0401 0.1952 2.9107
Hg -2.0802 0.3904 5.8215
Hg -3.1203 0.5855 8.7322
Cd 0.0000 0.0000 0.0000
```

Results
Formation energy from the elements = 14 kJ/mol of formula units
Electronic total energy = -234.77 eV per cell
Space-group type = Fm-3m, No. 225
Excess energy over the best structure of this formula in the dataset = 24 meV/atom

***

Entry 7:
## HoCdHg2 (meta-GGA SCAN)

Data for HoCdHg2 at its PBEsol-relaxed geometry.

Geometry as extended XYZ:
```
4
Lattice="-4.8728 -0.2972 0.9158 -2.5188 -4.0914 -1.2600 -1.6816 -3.0661 3.5274" Properties=species:S:1:pos:R:3 pbc="T T T"
Cd -4.5366 -3.7273 1.5916
Ho 0.0000 0.0000 0.0000
Hg -2.2683 -1.8637 0.7958
Hg -6.8049 -5.5910 2.3873
```

Results
Formation energy from the elements = -193 kJ/mol of formula units
Electronic total energy = -217.74 eV per cell
Space-group type = Fm-3m, No. 225

***

Entry 8:
## CdHgI2 (meta-GGA SCAN)

Data for CdHgI2 at its PBEsol-relaxed geometry.

Geometry as extended XYZ:
```
8
Lattice="7.2706 0.2816 0.4540 -2.5383 6.8190 -0.4540 -2.5383 -3.4356 5.9077" Properties=species:S:1:pos:R:3 pbc="T T T"
I 5.0248 3.6007 0.9087
I -1.5616 -0.7816 3.6356
I -1.1488 3.3293 4.5391
I 2.0737 1.1816 2.7320
Hg 1.0970 4.3962 1.3634
Hg 0.0000 0.0000 0.0000
Cd 1.0970 -0.7311 4.5443
Cd -2.5383 1.6917 2.7269
```

Results
Electronic total energy = -347.03 eV per cell
Space-group type = I-42d, No. 122

***

Entry 9:
## CdHgTe2I (meta-GGA SCAN)

Data for CdHgTe2I at its PBEsol-relaxed geometry.

Geometry as extended XYZ:
```
5
Lattice="5.5641 0.0000 0.0000 0.0000 5.5641 0.0000 0.0000 0.0000 5.6929" Properties=species:S:1:pos:R:3 pbc="T T T"
I 0.0000 0.0000 2.8464
Te 0.0000 2.7820 0.0000
Te 2.7820 0.0000 0.0000
Hg 2.7820 2.7820 2.8464
Cd 0.0000 0.0000 0.0000
```

Results
Electronic total energy = -207.98 eV per cell
Space-group type = P4/mmm, No. 123

***

Entry 10:
## CdIn2Hg (meta-GGA SCAN)

Data for CdIn2Hg at its PBEsol-relaxed geometry.

Geometry as extended XYZ:
```
4
Lattice="-2.0508 0.2456 2.6135 3.8626 -2.0526 3.2239 1.8511 4.8816 0.8902" Properties=species:S:1:pos:R:3 pbc="T T T"
In -0.1479 3.8443 2.6248
In -0.0518 1.2829 0.8789
Hg 2.8568 1.4145 2.0571
Cd 0.9059 -0.9035 2.9187
```

Results
Formation energy from the elements = 23 kJ/mol of formula units
Electronic total energy = -165.12 eV per cell
Space-group type = P2/m, No. 10
Excess energy over the best structure of this formula in the dataset = 31 meV/atom

***

Entry 11:
## CdInHg (meta-GGA SCAN)

Data for CdInHg at its PBEsol-relaxed geometry.

Geometry as extended XYZ:
```
3
Lattice="-0.7997 2.8088 1.3580 -2.9557 -2.2249 2.8614 5.2276 -0.8147 0.9441" Properties=species:S:1:pos:R:3 pbc="T T T"
In 2.2363 -0.3490 2.0386
Hg -0.7665 0.1186 3.1227
Cd 0.0024 -0.0004 0.0022
```

Results
Formation energy from the elements = 15 kJ/mol of formula units
Electronic total energy = -131.82 eV per cell
Space-group type = Imm2, No. 44

***

Entry 12:
## Cd4InHg (meta-GGA SCAN)

Data for Cd4InHg at its PBEsol-relaxed geometry.

Geometry as extended XYZ:
```
6
Lattice="5.7830 0.0000 0.0000 2.8915 5.0083 0.0000 2.8915 1.6694 4.7218" Properties=species:S:1:pos:R:3 pbc="T T T"
Cd 4.3387 2.5050 1.7713
Cd 5.7830 3.3388 4.1298
Cd 7.2274 2.5050 1.7713
Cd 5.7830 5.0066 1.7713
Hg 8.6746 5.0083 3.5414
In 0.0000 0.0000 0.0000
```

Results
Formation energy from the elements = 53 kJ/mol of formula units
Electronic total energy = -222.66 eV per cell
Space-group type = F-43m, No. 216

***

Entry 13:
## CdIn2Hg (meta-GGA SCAN)

Data for CdIn2Hg at its PBEsol-relaxed geometry.

Geometry as extended XYZ:
```
4
Lattice="-2.7910 1.5664 1.1147 -2.9866 -2.8630 -3.4550 2.2534 -3.0636 4.7953" Properties=species:S:1:pos:R:3 pbc="T T T"
In -3.5159 -4.3116 2.4075
In -1.7212 -1.1196 2.4157
Hg -1.8034 -3.2434 0.0420
Cd -2.8967 -0.6942 -1.1253
```

Results
Formation energy from the elements = 26 kJ/mol of formula units
Electronic total energy = -165.09 eV per cell
Space-group type = Imm2, No. 44
Excess energy over the best structure of this formula in the dataset = 39 meV/atom

***

Entry 14:
## CdIn2Hg (meta-GGA SCAN)

Data for CdIn2Hg at its PBEsol-relaxed geometry.

Geometry as extended XYZ:
```
4
Lattice="3.3498 0.0000 0.2322 0.0000 5.3824 0.0000 -0.3803 0.0000 5.2465" Properties=species:S:1:pos:R:3 pbc="T T T"
In 0.3988 0.0000 0.2204
In 2.0137 2.6912 1.2665
Hg 0.1585 2.6912 3.7441
Cd 1.8834 0.0000 2.9870
```

Results
Formation energy from the elements = 24 kJ/mol of formula units
Electronic total energy = -165.10 eV per cell
Space-group type = Pm, No. 6
Excess energy over the best structure of this formula in the dataset = 35 meV/atom

***

Entry 15:
## CdIn2Hg (meta-GGA SCAN)

Data for CdIn2Hg at its PBEsol-relaxed geometry.

Geometry as extended XYZ:
```
4
Lattice="-1.5948 0.8122 -2.6547 -3.0830 -0.7954 -0.3359 -5.0840 9.2104 3.1227" Properties=species:S:1:pos:R:3 pbc="T T T"
In -2.5189 2.3114 -0.0142
In -7.2431 6.9159 0.1462
Hg -4.6774 0.0173 -2.9899
Cd -4.8816 4.6129 0.0651
```

Results
Formation energy from the elements = 24 kJ/mol of formula units
Electronic total energy = -165.11 eV per cell
Space-group type = C2/m, No. 12
Excess energy over the best structure of this formula in the dataset = 34 meV/atom

***

Entry 16:
## CdInHg (meta-GGA SCAN)

Data for CdInHg at its PBEsol-relaxed geometry.

Geometry as extended XYZ:
```
3
Lattice="-1.2193 1.8687 2.3001 -2.0436 -2.1686 -1.1791 3.8817 -4.8101 4.6621" Properties=species:S:1:pos:R:3 pbc="T T T"
In 1.4985 -3.3031 3.4779
Hg -0.8947 -1.7740 2.2705
Cd 0.0146 -0.0322 0.0339
```

Results
Formation energy from the elements = 19 kJ/mol of formula units
Electronic total energy = -131.77 eV per cell
Space-group type = Fmm2, No. 42

***

Entry 17:
## CdIn2Hg (meta-GGA SCAN)

Data for CdIn2Hg at its PBEsol-relaxed geometry.

Geometry as extended XYZ:
```
4
Lattice="3.2044 0.0000 0.0000 0.0000 3.2044 0.0000 0.0000 0.0000 9.1984" Properties=species:S:1:pos:R:3 pbc="T T T"
In 0.0000 0.0000 6.9201
In 0.0000 0.0000 2.2783
Hg 1.6022 1.6022 4.5992
Cd 1.6022 1.6022 0.0000
```

Results
Formation energy from the elements = 24 kJ/mol of formula units
Electronic total energy = -165.10 eV per cell
Space-group type = P4/mmm, No. 123
Excess energy over the best structure of this formula in the dataset = 35 meV/atom

***

Entry 18:
## CdIn2Hg (meta-GGA SCAN)

Data for CdIn2Hg at its PBEsol-relaxed geometry.

Geometry as extended XYZ:
```
4
Lattice="-0.8215 2.9100 -1.4733 -0.9788 -2.6096 -4.6101 -4.1608 -0.7129 4.4374" Properties=species:S:1:pos:R:3 pbc="T T T"
In -3.4165 -0.1285 -2.3476
In -2.5445 -0.2838 0.7022
Hg -1.3110 1.6051 -3.7784
Cd -0.4108 1.4549 -0.7367
```

Results
Formation energy from the elements = 25 kJ/mol of formula units
Electronic total energy = -165.09 eV per cell
Space-group type = C2/m, No. 12
Excess energy over the best structure of this formula in the dataset = 38 meV/atom

***

Entry 19:
## CdIn2Hg (meta-GGA SCAN)

Data for CdIn2Hg at its PBEsol-relaxed geometry.

Geometry as extended XYZ:
```
4
Lattice="-1.9768 -4.2094 2.1810 0.4511 -4.5541 -2.3323 3.1166 -3.5869 1.9505" Properties=species:S:1:pos:R:3 pbc="T T T"
In 0.0000 0.0000 0.0000
In 1.1932 -9.2628 1.3494
Hg 0.3977 -3.0876 0.4498
Cd 0.7955 -6.1752 0.8996
```

Results
Formation energy from the elements = 34 kJ/mol of formula units
Electronic total energy = -165.00 eV per cell
Space-group type = F-43m, No. 216
Excess energy over the best structure of this formula in the dataset = 60 meV/atom

***

Entry 20:
## CdIn2Hg (meta-GGA SCAN)

Data for CdIn2Hg at its PBEsol-relaxed geometry.

Geometry as extended XYZ:
```
4
Lattice="5.1450 0.0000 0.0000 2.5725 4.4557 0.0000 2.5725 1.4852 4.2008" Properties=species:S:1:pos:R:3 pbc="T T T"
In 2.5725 1.4852 1.0502
In 7.7174 4.4557 3.1506
Hg 5.1450 2.9704 2.1004
Cd 0.0000 0.0000 0.0000
```

Results
Formation energy from the elements = 33 kJ/mol of formula units
Electronic total energy = -165.01 eV per cell
Space-group type = Fm-3m, No. 225
Excess energy over the best structure of this formula in the dataset = 58 meV/atom